This record from Alexandria describes crystalline Pm6Au3O at its relaxed geometry. The functional is GGA-PBE.

Unit cell a=6.6267 b=7.7671 c=10.2963 alpha=90.00 beta=89.44 gamma=90.00
Fractional positions:
Pm  0.6802  0.1568  0.9423
Pm  0.6430  0.2120  0.5673
Pm  0.6549  0.4556  0.2692
Pm  0.3451  0.5444  0.7308
Pm  0.3570  0.7880  0.4327
Pm  0.3198  0.8432  0.0577
Pm  0.1802  0.3432  0.4423
Pm  0.1430  0.2880  0.0673
Pm  0.1549  0.0444  0.7692
Pm  0.8451  0.9556  0.2308
Pm  0.8570  0.7120  0.9327
Pm  0.8198  0.6568  0.5577
Au  0.5714  0.8905  0.7343
Au  0.5000  0.5000  0.0000
Au  0.4286  0.1095  0.2657
Au  0.0714  0.6095  0.2343
Au  0.0000  0.0000  0.5000
Au  0.9286  0.3905  0.7657
O  0.5000  0.5000  0.5000
O  0.0000  0.0000  0.0000

Values from the calculation:
- energy relative to the elements, uncorrected (eV per atom) = -0.98
- final energy (eV per cell) = -106.2